#one
The following is a PBEsol calculation of a geometry-optimized Tl2SbOs structure, from Alexandria via LeMat-Bulk.

DOS(E_F)   0.65 states/eV/atom
Total magnetic moment   0.0 Bohr magnetons per cell

Unit cell a=4.8123 b=4.8123 c=4.8123 alpha=104.67 beta=111.93 gamma=111.93
Element x y z (fractional)
Sb: 0.5000 0.7500 0.2500
Tl: 0.0000 0.0000 0.0000
Tl: 0.5000 0.2500 0.7500
Os: 0.0000 0.5000 0.5000


#two
The following is a PBEsol calculation of a geometry-optimized Tl2SbOs structure, from Alexandria via LeMat-Bulk.

DOS(E_F)   0.40 states/eV/atom
Total magnetic moment   0.0 Bohr magnetons per cell

Unit cell a=3.2049 b=3.2123 c=8.8727 alpha=90.00 beta=89.62 gamma=90.00
Element x y z (fractional)
Sb: 0.4676 0.5000 0.6826
Tl: 0.0711 0.0000 0.0037
Os: 0.9694 0.0000 0.5177
Tl: 0.4920 0.5000 0.2960


The data favor #two; the next most stable structure lies 47.4 kJ/mol of atoms above it.


#one
The following is a PBEsol calculation of a geometry-optimized ScOsSe2 structure, from Alexandria via LeMat-Bulk.

DOS(E_F)   0.71 states/eV/atom
Total magnetic moment   0.0 Bohr magnetons per cell

Unit cell a=3.2394 b=3.2394 c=6.6061 alpha=90.00 beta=90.00 gamma=103.78
Element x y z (fractional)
Os: 0.5000 0.5000 0.5000
Se: 0.0000 0.0000 0.2637
Se: 0.0000 0.0000 0.7363
Sc: 0.5000 0.5000 0.0000


#two
The following is a PBEsol calculation of a geometry-optimized ScOsSe2 structure, from Alexandria via LeMat-Bulk.

DOS(E_F)   0.74 states/eV/atom
Total magnetic moment   0.0 Bohr magnetons per cell

Unit cell a=4.5223 b=4.5223 c=4.5223 alpha=60.00 beta=60.00 gamma=60.00
Element x y z (fractional)
Se: 0.2500 0.2500 0.2500
Se: 0.7500 0.7500 0.7500
Os: 0.5000 0.5000 0.5000
Sc: 0.0000 0.0000 0.0000


The data favor #two; the next most stable structure lies 14.8 kJ/mol of atoms above it.


#one
The following is a PBEsol calculation of a geometry-optimized Sr2ScOs structure, from Alexandria via LeMat-Bulk.

DOS(E_F)   1.04 states/eV/atom
Total magnetic moment   0.0 Bohr magnetons per cell

Unit cell a=3.5027 b=3.5027 c=9.4078 alpha=90.00 beta=90.00 gamma=90.00
Element x y z (fractional)
Sr: 0.5000 0.5000 0.0507
Sc: 0.0000 0.0000 0.3327
Sr: 0.0000 0.0000 0.6682
Os: 0.5000 0.5000 0.4485


#two
The following is a PBEsol calculation of a geometry-optimized Sr2ScOs structure, from Alexandria via LeMat-Bulk.

DOS(E_F)   0.95 states/eV/atom
Total magnetic moment   0.0 Bohr magnetons per cell

Unit cell a=4.4335 b=4.4370 c=8.2775 alpha=105.48 beta=90.00 gamma=119.97
Element x y z (fractional)
Os: 0.4578 0.9156 0.3730
Sr: 0.0355 0.0710 0.1055
Sc: 0.7919 0.5837 0.3754
Sr: 0.2149 0.4297 0.6461


The data favor #one; the next most stable structure lies 2.9 kJ/mol of atoms above it.


#one
The following is a PBEsol calculation of a geometry-optimized ScTe2Os structure, from Alexandria via LeMat-Bulk.

DOS(E_F)   0.66 states/eV/atom
Total magnetic moment   0.0 Bohr magnetons per cell

Unit cell a=4.1625 b=4.7147 c=4.7147 alpha=103.22 beta=90.00 gamma=90.00
Element x y z (fractional)
Os: 0.5000 0.5000 0.5000
Sc: 0.5000 0.0000 0.0000
Te: 0.0000 0.7143 0.2857
Te: 0.0000 0.2857 0.7143


#two
The following is a PBEsol calculation of a geometry-optimized ScTe2Os structure, from Alexandria via LeMat-Bulk.

DOS(E_F)   0.39 states/eV/atom
Total magnetic moment   0.0 Bohr magnetons per cell

Unit cell a=3.2443 b=4.5562 c=6.3732 alpha=110.94 beta=104.75 gamma=90.00
Element x y z (fractional)
Sc: 0.1931 0.6931 0.3862
Te: 0.7979 0.2979 0.5958
Te: 0.0197 0.0197 0.0394
Os: 0.4893 0.4893 0.9786


#three
The following is a PBEsol calculation of a geometry-optimized ScTe2Os structure, from Alexandria via LeMat-Bulk.

DOS(E_F)   0.71 states/eV/atom
Total magnetic moment   0.0 Bohr magnetons per cell

Unit cell a=3.2217 b=3.2217 c=9.5784 alpha=80.32 beta=80.32 gamma=60.00
Element x y z (fractional)
Te: 0.9111 0.9111 0.2668
Sc: 0.5000 0.5000 0.5000
Os: 0.0000 0.0000 0.0000
Te: 0.0889 0.0889 0.7332


The data favor #two; the next most stable structure lies 16.3 kJ/mol of atoms above it.


#one
The following is a PBEsol calculation of a geometry-optimized ScOsW2 structure, from Alexandria via LeMat-Bulk.

DOS(E_F)   0.68 states/eV/atom
Total magnetic moment   0.0 Bohr magnetons per cell

Unit cell a=3.1477 b=3.1477 c=6.4667 alpha=90.00 beta=90.00 gamma=90.00
Element x y z (fractional)
Os: 0.0000 0.0000 0.4863
W: 0.5000 0.5000 0.2506
W: 0.0000 0.0000 0.0155
Sc: 0.5000 0.5000 0.7475


#two
The following is a PBEsol calculation of a geometry-optimized ScOsW2 structure, from Alexandria via LeMat-Bulk.

DOS(E_F)   0.38 states/eV/atom
Total magnetic moment   0.0 Bohr magnetons per cell

Unit cell a=4.4459 b=4.4459 c=4.4459 alpha=60.00 beta=60.00 gamma=60.00
Element x y z (fractional)
Sc: 0.5000 0.5000 0.5000
Os: 0.0000 0.0000 0.0000
W: 0.2500 0.2500 0.2500
W: 0.7500 0.7500 0.7500


The data favor #one; the next most stable structure lies 12.5 kJ/mol of atoms above it.


#one
The following is a PBEsol calculation of a geometry-optimized YScOs structure, from Alexandria via LeMat-Bulk.

DOS(E_F)   1.22 states/eV/atom
Total magnetic moment   0.0 Bohr magnetons per cell

Unit cell a=3.2521 b=3.2521 c=7.0331 alpha=90.00 beta=90.00 gamma=120.00
Element x y z (fractional)
Os: 0.0000 0.0000 0.9879
Sc: 0.3333 0.6667 0.7227
Y: 0.6667 0.3333 0.2894


#two
The following is a PBEsol calculation of a geometry-optimized YScOs structure, from Alexandria via LeMat-Bulk.

DOS(E_F)   0.41 states/eV/atom
Total magnetic moment   0.0 Bohr magnetons per cell

Unit cell a=3.2630 b=3.2630 c=6.5653 alpha=104.39 beta=104.39 gamma=90.00
Element x y z (fractional)
Os: 0.0076 0.0076 0.0152
Sc: 0.6253 0.6253 0.2506
Y: 0.3671 0.3671 0.7342


The data favor #two; the next most stable structure lies 40.9 kJ/mol of atoms above it.